# 1
## KLaSe2O6 (PBE-GGA)

Data for crystalline KLaSe2O6 at its relaxed geometry.

Cell: 6.9731 6.9731 7.8656 Å, 96.25 96.25 105.83°
Last column: nearest neighbours and their distance in Å.
Element x y z (fractional)
K 0.1749 0.8251 0.7500  6 O 2.73-2.92
K 0.8251 0.1749 0.2500  6 O 2.73-2.92
La 0.4260 0.5740 0.2500  8 O 2.50-2.69
La 0.5740 0.4260 0.7500  8 O 2.50-2.69
Se 0.0891 0.3246 0.8424  3 O 1.72-1.77
Se 0.3246 0.0891 0.3424  3 O 1.72-1.77
Se 0.6754 0.9109 0.6576  3 O 1.72-1.77
Se 0.9109 0.6754 0.1576  3 O 1.72-1.77
O 0.0663 0.5599 0.2643  1 Se 1.72
O 0.2003 0.2242 0.6840  1 Se 1.72
O 0.2242 0.2003 0.1840  1 Se 1.72
O 0.3026 0.5282 0.9324  1 Se 1.77
O 0.4401 0.9337 0.2357  1 Se 1.72
O 0.4718 0.6974 0.5676  1 Se 1.77
O 0.5282 0.3026 0.4324  1 Se 1.77
O 0.5599 0.0663 0.7643  1 Se 1.72
O 0.6974 0.4718 0.0676  1 Se 1.77
O 0.7758 0.7997 0.8160  1 Se 1.72
O 0.7997 0.7758 0.3160  1 Se 1.72
O 0.9337 0.4401 0.7357  1 Se 1.72

Summary:
The energy relative to the elements, uncorrected comes out at -1.793 eV per atom. As for the symmetry: C2/c (15). The calculation puts the total magnetic moment at 0.000 Bohr magnetons per cell.



# 2
## YTmSi (PBE-GGA)

Data for crystalline YTmSi at its relaxed geometry.

Cell: 11.1317 4.1525 7.9811 Å, 90.00 125.52 90.00°
Last column: nearest neighbours and their distance in Å.
Element x y z (fractional)
Y 0.0847 0.0000 0.3597  5 Si 3.01-3.34
Y 0.4153 0.5000 0.6403  5 Si 3.01-3.34
Y 0.5847 0.5000 0.3597  5 Si 3.01-3.34
Y 0.9153 0.0000 0.6403  5 Si 3.01-3.34
Tm 0.1752 0.5000 0.0775  3 Si 2.87-3.03
Tm 0.3248 0.0000 0.9225  3 Si 2.87-3.03
Tm 0.6752 0.0000 0.0775  3 Si 2.87-3.03
Tm 0.8248 0.5000 0.9225  3 Si 2.87-3.03
Si 0.1241 0.5000 0.6608  1 Si 2.45
Si 0.3759 0.0000 0.3392  1 Si 2.45
Si 0.6241 0.0000 0.6608  1 Si 2.45
Si 0.8759 0.5000 0.3392  1 Si 2.45

Summary:
The energy relative to the elements, uncorrected comes out at -0.545 eV per atom. The polymorph energy (0 for the lowest one) is 0.0 kJ/mol of atoms. As for the symmetry: C2/m (12). The calculation puts the total magnetic moment at 0.000 Bohr magnetons per cell.



# 3
## NiIrW2 (PBE-GGA)

Data for crystalline NiIrW2 at its relaxed geometry.

Cell: 2.7487 4.3830 4.7974 Å, 90.00 90.00 90.00°
Last column: nearest neighbours and their distance in Å.
Element x y z (fractional)
Ni 0.0000 0.0000 0.0000  8 W 2.68-2.80, 2 Ir 2.72, 2 Ni 2.75
Ir 0.0000 0.5000 0.3351  8 W 2.69-2.84, 2 Ni 2.72, 2 Ir 2.75
W 0.5000 0.0000 0.5081  4 Ir 2.72, 4 Ni 2.73-2.80, 4 W 2.75
W 0.5000 0.5000 0.8531  4 Ni 2.68, 4 Ir 2.69-2.84, 4 W 2.75

Summary:
As for the formation energy: -128 meV per atom. As for the symmetry: Pmm2 (25). The calculation puts the total magnetic moment at 0.000 Bohr magnetons per cell.



What is the total magnetic moment in the first record?
0.000 Bohr magnetons per cell



Look up the total magnetic moment of the second one.
0.000 Bohr magnetons per cell